# 1
Material: Ac2Pr2Cd3
Method: DFT, PBE
State: relaxed

* M_tot: 0.00 μB/f.u.
* DOS(E_F): 1.68 states/eV/atom
* total DFT energy (no corrections): -85.0 eV per cell
* crystal system: cubic
* energy of formation: -0.105 eV/atom

a = 9.8656 Å, b = 9.8656 Å, c = 9.8656 Å
α = 90.00°, β = 90.00°, γ = 90.00°
Space group I2_13 (No. 199)
Inequivalent atoms, fractional coordinates:
Ac 0.1719 0.1719 0.1719 x8
Pr 0.0720 0.4280 0.5720 x8
Cd 0.0000 0.2500 0.8635 x12

=====

# 2
Material: KTa2Hg
Method: DFT, PBE
State: relaxed

* M_tot: 0.00 μB/f.u.
* DOS(E_F): 0.96 states/eV/atom
* total DFT energy (no corrections): -40.7 eV per cell
* crystal system: orthorhombic
* energy of formation: 1.189 eV/atom

a = 5.8243 Å, b = 11.1574 Å, c = 2.7748 Å
α = 90.00°, β = 90.00°, γ = 90.00°
Space group Cmmm (No. 65)
Inequivalent atoms, fractional coordinates:
K 0.0000 0.0000 0.0000 x2
Ta 0.2500 0.2500 0.5000 x4
Hg 0.0000 0.5000 0.0000 x2

=====

# 3
Material: Ge4Se5Cl2
Method: DFT, PBE
State: relaxed

* M_tot: 0.00 μB/f.u.
* DOS(E_F): 0.40 states/eV/atom
* formation energy from raw total energies: -199 kJ/mol of formula units
* total DFT energy (no corrections): -83.3 eV per cell
* crystal system: monoclinic

a = 14.7402 Å, b = 5.8796 Å, c = 8.9804 Å
α = 90.00°, β = 127.24°, γ = 90.00°
Space group C2/m (No. 12)
Inequivalent atoms, fractional coordinates:
Ge 0.1423 0.0000 0.2960 x4
Ge 0.1742 0.0000 0.8273 x4
Se 0.0000 0.0000 0.5000 x2
Se 0.1448 0.2561 0.0495 x8
Cl 0.1647 0.5000 0.4614 x4

=====

# 4
Material: K2TcCl4O2
Method: DFT, PBE
State: relaxed

* M_tot: 1.00 μB/f.u.
* formation energy from raw total energies: -1163 kJ/mol of formula units
* total DFT energy (no corrections): -83.8 eV per cell
* crystal system: monoclinic

a = 11.1641 Å, b = 7.0608 Å, c = 5.7677 Å
α = 90.00°, β = 105.06°, γ = 90.00°
Space group C2/m (No. 12)
Inequivalent atoms, fractional coordinates:
K 0.1781 0.0000 0.3077 x4
Tc 0.0000 0.5000 0.0000 x2
Cl 0.0913 0.2544 0.8092 x8
O 0.1337 0.5000 0.2473 x4

=====

# 5
Material: Rb2ScBi2
Method: DFT, PBE
State: relaxed

* M_tot: 0.00 μB/f.u.
* DOS(E_F): 0.37 states/eV/atom
* total DFT energy (no corrections): -30.0 eV per cell
* crystal system: tetragonal
* energy of formation: 0.206 eV/atom

a = 10.6033 Å, b = 10.6033 Å, c = 3.3856 Å
α = 90.00°, β = 90.00°, γ = 90.00°
Space group P4/mbm (No. 127)
Inequivalent atoms, fractional coordinates:
Rb 0.1117 0.3883 0.0000 x4
Sc 0.0000 0.0000 0.0000 x2
Bi 0.1874 0.6874 0.5000 x4

=====

# 6
Material: Cs3Nb5S12
Method: DFT, PBE
State: relaxed

* M_tot: 4.01 μB/f.u.
* DOS(E_F): 0.43 states/eV/atom
* formation energy from raw total energies: -1706 kJ/mol of formula units
* total DFT energy (no corrections): -960.9 eV per cell
* crystal system: cubic

a = 16.5137 Å, b = 16.5137 Å, c = 16.5137 Å
α = 90.00°, β = 90.00°, γ = 90.00°
Space group Ia-3d (No. 230)
Inequivalent atoms, fractional coordinates:
Cs 0.0000 0.2500 0.1250 x24
Nb 0.0000 0.0000 0.0000 x16
Nb 0.0000 0.2500 0.3750 x24
S 0.0381 0.1427 0.9567 x96

=====

# 7
Material: EuDy2Mg
Method: DFT, PBE
State: relaxed

* M_tot: 7.26 μB/f.u.
* DOS(E_F): 1.15 states/eV/atom
* total DFT energy (no corrections): -20.7 eV per cell
* crystal system: tetragonal
* energy of formation: 0.090 eV/atom

a = 5.4332 Å, b = 5.4332 Å, c = 4.1997 Å
α = 90.00°, β = 90.00°, γ = 90.00°
Space group P4/mmm (No. 123)
Inequivalent atoms, fractional coordinates:
Eu 0.0000 0.0000 0.0000 x1
Dy 0.0000 0.5000 0.5000 x2
Mg 0.5000 0.5000 0.0000 x1

=====

# 8
Material: CsKCS2
Method: DFT, PBE
State: relaxed

* M_tot: 0.00 μB/f.u.
* DOS(E_F): 1.24 states/eV/atom
* formation energy from raw total energies: 584 kJ/mol of formula units
* total DFT energy (no corrections): -13.4 eV per cell
* crystal system: tetragonal

a = 5.9355 Å, b = 5.9355 Å, c = 5.4601 Å
α = 90.00°, β = 90.00°, γ = 90.00°
Space group P4/mmm (No. 123)
Inequivalent atoms, fractional coordinates:
Cs 0.0000 0.0000 0.0000 x1
K 0.5000 0.5000 0.5000 x1
C 0.5000 0.5000 0.0000 x1
S 0.0000 0.5000 0.5000 x2

=====

# 9
Material: ZrTi2SiH
Method: DFT, PBE
State: relaxed

* M_tot: 0.00 μB/f.u.
* DOS(E_F): 0.79 states/eV/atom
* total DFT energy (no corrections): -35.4 eV per cell
* crystal system: tetragonal

a = 4.1027 Å, b = 4.1027 Å, c = 4.1644 Å
α = 90.00°, β = 90.00°, γ = 90.00°
Space group P4/mmm (No. 123)
Inequivalent atoms, fractional coordinates:
Zr 0.0000 0.0000 0.0000 x1
Ti 0.0000 0.5000 0.5000 x2
Si 0.5000 0.5000 0.0000 x1
H 0.0000 0.0000 0.5000 x1

=====

# 10
Material: Ac2SiAsPd6
Method: DFT, PBE
State: relaxed

* M_tot: 0.00 μB/f.u.
* DOS(E_F): 0.22 states/eV/atom
* formation energy from raw total energies: -755 kJ/mol of formula units
* total DFT energy (no corrections): -57.3 eV per cell
* crystal system: triclinic

a = 6.6053 Å, b = 6.6070 Å, c = 6.8002 Å
α = 61.16°, β = 61.07°, γ = 60.01°
Space group P-1 (No. 2)
Inequivalent atoms, fractional coordinates:
Ac 0.2272 0.2269 0.3178 x2
Si 0.0000 0.0000 0.0000 x1
As 0.5000 0.5000 0.5000 x1
Pd 0.2451 0.2459 0.8255 x2
Pd 0.2470 0.6808 0.8281 x2
Pd 0.3177 0.7539 0.1734 x2

=====

# 11
Material: LaTcHg
Method: DFT, PBE
State: relaxed

* M_tot: 0.00 μB/f.u.
* DOS(E_F): 0.98 states/eV/atom
* total DFT energy (no corrections): -29.7 eV per cell
* crystal system: tetragonal
* energy of formation: 0.256 eV/atom

a = 3.6480 Å, b = 3.6480 Å, c = 10.4935 Å
α = 90.00°, β = 90.00°, γ = 90.00°
Space group I4mm (No. 107)
Inequivalent atoms, fractional coordinates:
La 0.0000 0.0000 0.0000 x2
Tc 0.0000 0.0000 0.3293 x2
Hg 0.0000 0.0000 0.7051 x2

=====

# 12
Material: PmSmBi2
Method: DFT, PBE
State: relaxed

* M_tot: 0.01 μB/f.u.
* DOS(E_F): 1.14 states/eV/atom
* total DFT energy (no corrections): -19.9 eV per cell
* crystal system: tetragonal
* energy of formation: -0.671 eV/atom

a = 3.8490 Å, b = 3.8490 Å, c = 8.3183 Å
α = 90.00°, β = 90.00°, γ = 90.00°
Space group P4/mmm (No. 123)
Inequivalent atoms, fractional coordinates:
Pm 0.0000 0.0000 0.0000 x1
Sm 0.0000 0.0000 0.5000 x1
Bi 0.5000 0.5000 0.2515 x2

=====

# 13
Material: TcPSe2Br
Method: DFT, PBE
State: relaxed

* M_tot: 4.96 μB/f.u.
* DOS(E_F): 0.58 states/eV/atom
* formation energy from raw total energies: 442 kJ/mol of formula units
* total DFT energy (no corrections): -19.8 eV per cell
* crystal system: tetragonal

a = 4.9400 Å, b = 4.9400 Å, c = 4.9054 Å
α = 90.00°, β = 90.00°, γ = 90.00°
Space group P4/mmm (No. 123)
Inequivalent atoms, fractional coordinates:
Tc 0.0000 0.0000 0.0000 x1
P 0.5000 0.5000 0.5000 x1
Se 0.0000 0.5000 0.5000 x2
Br 0.5000 0.5000 0.0000 x1

=====

# 14
Material: RbGeSb2Pt
Method: DFT, PBE
State: relaxed

* M_tot: 0.00 μB/f.u.
* DOS(E_F): 0.99 states/eV/atom
* formation energy from raw total energies: 423 kJ/mol of formula units
* total DFT energy (no corrections): -15.5 eV per cell
* crystal system: tetragonal

a = 5.2938 Å, b = 5.2938 Å, c = 6.0064 Å
α = 90.00°, β = 90.00°, γ = 90.00°
Space group P4/mmm (No. 123)
Inequivalent atoms, fractional coordinates:
Rb 0.0000 0.0000 0.0000 x1
Ge 0.0000 0.0000 0.5000 x1
Sb 0.0000 0.5000 0.5000 x2
Pt 0.5000 0.5000 0.0000 x1

=====

# 15
Material: Ce6CdAu5
Method: DFT, PBE
State: relaxed

* M_tot: 5.95 μB/f.u.
* DOS(E_F): 3.32 states/eV/atom
* total DFT energy (no corrections): -118.2 eV per cell
* crystal system: orthorhombic
* energy of formation: -0.517 eV/atom

a = 5.2165 Å, b = 7.4108 Å, c = 15.8254 Å
α = 90.00°, β = 90.00°, γ = 90.00°
Space group Immm (No. 71)
Inequivalent atoms, fractional coordinates:
Ce 0.0000 0.2304 0.0000 x4
Ce 0.0000 0.2560 0.3240 x8
Cd 0.0000 0.0000 0.5000 x2
Au 0.0000 0.0000 0.1664 x4
Au 0.0000 0.5000 0.1477 x4
Au 0.0000 0.5000 0.5000 x2

=====

# 16
Material: Er2NiHg3
Method: DFT, PBE
State: relaxed

* M_tot: 0.00 μB/f.u.
* DOS(E_F): 0.59 states/eV/atom
* total DFT energy (no corrections): -18.0 eV per cell
* crystal system: orthorhombic
* energy of formation: -0.358 eV/atom

a = 3.4353 Å, b = 4.7288 Å, c = 8.2949 Å
α = 90.00°, β = 90.00°, γ = 90.00°
Space group Pmm2 (No. 25)
Inequivalent atoms, fractional coordinates:
Er 0.0000 0.0000 0.0000 x1
Er 0.0000 0.5000 0.4298 x1
Ni 0.5000 0.0000 0.2749 x1
Hg 0.5000 0.0000 0.5934 x1
Hg 0.5000 0.5000 0.1305 x1
Hg 0.5000 0.5000 0.7860 x1

=====

# 17
Material: Pr3MnTl4S8
Method: DFT, PBE
State: relaxed

* M_tot: 4.18 μB/f.u.
* DOS(E_F): 0.32 states/eV/atom
* formation energy from raw total energies: -1746 kJ/mol of formula units
* total DFT energy (no corrections): -252.3 eV per cell
* crystal system: trigonal

a = 8.1888 Å, b = 8.1888 Å, c = 22.2960 Å
α = 90.00°, β = 90.00°, γ = 120.00°
Space group R-3m (No. 166, hexagonal axes)
Inequivalent atoms, fractional coordinates:
Pr 0.0000 0.5000 0.0000 x9
Mn 0.0000 0.0000 0.0000 x3
Tl 0.0000 0.0000 0.5000 x3
Tl 0.0000 0.5000 0.5000 x9
S 0.0000 0.0000 0.2629 x6
S 0.0273 0.5137 0.7324 x18

=====

# 18
Material: LaSmLuPb
Method: DFT, PBE
State: relaxed

* M_tot: 0.00 μB/f.u.
* DOS(E_F): 1.77 states/eV/atom
* total DFT energy (no corrections): -74.1 eV per cell
* crystal system: cubic
* energy of formation: -0.160 eV/atom

a = 7.9158 Å, b = 7.9158 Å, c = 7.9158 Å
α = 90.00°, β = 90.00°, γ = 90.00°
Space group F-43m (No. 216)
Inequivalent atoms, fractional coordinates:
La 0.0000 0.0000 0.0000 x4
Sm 0.0000 0.0000 0.5000 x4
Lu 0.2500 0.2500 0.2500 x4
Pb 0.2500 0.2500 0.7500 x4

=====

# 19
Material: LaAg4Pb
Method: DFT, PBE
State: relaxed

* M_tot: 0.00 μB/f.u.
* DOS(E_F): 0.36 states/eV/atom
* total DFT energy (no corrections): -85.3 eV per cell
* crystal system: cubic
* energy of formation: -0.214 eV/atom

a = 8.1515 Å, b = 8.1515 Å, c = 8.1515 Å
α = 90.00°, β = 90.00°, γ = 90.00°
Space group F-43m (No. 216)
Inequivalent atoms, fractional coordinates:
La 0.0000 0.0000 0.0000 x4
Ag 0.1250 0.1250 0.6250 x16
Pb 0.2500 0.2500 0.2500 x4

=====

# 20
Material: La4HgGeTe2
Method: DFT, PBE
State: relaxed

* M_tot: 0.00 μB/f.u.
* DOS(E_F): 0.80 states/eV/atom
* formation energy from raw total energies: -857 kJ/mol of formula units
* total DFT energy (no corrections): -39.8 eV per cell
* crystal system: monoclinic

a = 7.8025 Å, b = 4.4902 Å, c = 8.0033 Å
α = 90.00°, β = 108.41°, γ = 90.00°
Space group P2/m (No. 10)
Inequivalent atoms, fractional coordinates:
La 0.2332 0.0000 0.2327 x2
La 0.2398 0.5000 0.7545 x2
Hg 0.5000 0.0000 0.0000 x1
Ge 0.0000 0.5000 0.0000 x1
Te 0.0000 0.0000 0.5000 x1
Te 0.5000 0.5000 0.5000 x1